Computed, not measured: a relaxed Ac2MgRu crystal at the PBE level of DFT.

The space group is P4/mmm (No. 123) and the conventional cell measures 3.6878, 3.6878 and 9.0202 Å, with angles of 90.00, 90.00 and 90.00 degrees. The inequivalent atoms are Ac at (0.0000, 0.0000, 0.2015), Mg at (0.5000, 0.5000, 0.5000) and Ru at (0.5000, 0.5000, 0.0000).

As for the calculated total energy: -4.79 eV per atom. The calculation puts the formation energy at -0.1 eV per formula unit. The calculation puts the energy above the most stable polymorph in this dataset at 0.098 eV/atom.